Entry 1:
HgRhW2 after structural relaxation, computed with PBE.

Results
Crystal system = tetragonal
Uncorrected energy = -32.0 eV per cell
Density of states at the Fermi level = 5.7 states/eV/f.u.
DFT formation energy = 0.38 eV per atom

Cell lengths 3.2537, 3.2537, 6.3869 Å; angles 90.00, 90.00, 90.00 degrees
With the nearest neighbours (Å) after each atom.
Space group P4mm (No. 99)
Symmetry-distinct sites (fractional):
Hg (0.0000, 0.0000, 0.0000) x1  4 Rh 2.85, 5 W 2.93-3.16
Rh (0.5000, 0.5000, 0.2632) x1  5 W 2.74-2.89, 4 Hg 2.85
W (0.0000, 0.0000, 0.4952) x1  4 W 2.70, 4 Rh 2.74
W (0.5000, 0.5000, 0.7157) x1  4 W 2.70, 1 Rh 2.89, 4 Hg 2.93

Entry 2:
RbZr3Bi after structural relaxation, computed with PBE.

Results
Crystal system = cubic
Uncorrected energy = -24.8 eV per cell
Density of states at the Fermi level = 10.1 states/eV/f.u.
DFT formation energy = 1.13 eV per atom

Cell lengths 5.6304, 5.6304, 5.6304 Å; angles 90.00, 90.00, 90.00 degrees
With the nearest neighbours (Å) after each atom.
Space group Pm-3m (No. 221)
Symmetry-distinct sites (fractional):
Rb (0.0000, 0.0000, 0.0000) x1  12 Zr 3.98
Zr (0.0000, 0.5000, 0.5000) x3  2 Bi 2.82
Bi (0.5000, 0.5000, 0.5000) x1  6 Zr 2.82

Entry 3:
UInPd4 after structural relaxation, computed with PBE.

Results
Crystal system = cubic
Uncorrected energy = -148.5 eV per cell
Density of states at the Fermi level = 11.3 states/eV/f.u.
DFT formation energy = -0.39 eV per atom

Cell lengths 7.6186, 7.6186, 7.6186 Å; angles 90.00, 90.00, 90.00 degrees
With the nearest neighbours (Å) after each atom.
Space group F-43m (No. 216)
Symmetry-distinct sites (fractional):
U (0.0000, 0.0000, 0.0000) x4  12 Pd 3.16, 4 In 3.30
In (0.2500, 0.2500, 0.7500) x4  12 Pd 3.16, 4 U 3.30
Pd (0.1246, 0.1246, 0.3754) x16  6 Pd 2.69-2.70

Entry 4:
Ca3ScPt after structural relaxation, computed with PBE.

Results
Crystal system = cubic
Uncorrected energy = -13.3 eV per cell
Density of states at the Fermi level = 3.9 states/eV/f.u.
DFT formation energy = 1.02 eV per atom

Cell lengths 5.5984, 5.5984, 5.5984 Å; angles 90.00, 90.00, 90.00 degrees
With the nearest neighbours (Å) after each atom.
Space group Pm-3m (No. 221)
Symmetry-distinct sites (fractional):
Ca (0.0000, 0.0000, 0.5000) x3  2 Sc 2.80
Sc (0.0000, 0.0000, 0.0000) x1  6 Ca 2.80
Pt (0.5000, 0.5000, 0.5000) x1  12 Ca 3.96